DFT (PBE) results for an optimized crystal structure of TbNpTl2S4.

The formation energy from raw total energies is -9.94 eV/f.u. As for the calculated volume: 26.9 Å³/atom.

It has space group P2/m (No. 10), with a = 7.0367 Å, b = 4.0650 Å, c = 7.8751 Å, α = 90.00°, β = 107.40° and γ = 90.00°. The asymmetric unit holds Tb at (0.0000, 0.0000, 0.0000), Np at (0.5000, 0.5000, 0.0000), Tl at (0.0000, 0.5000, 0.5000), Tl at (0.5000, 0.0000, 0.5000), S at (0.2316, 0.5000, 0.1981) and S at (0.2691, 0.0000, 0.8044).